Compound: ErThZnTc
Source: the Alexandria database
Functional: PBE
Structure: optimized geometry

a b c (Å): 5.013 5.013 5.013
angles (deg): 60.00 60.00 60.00
Fractional coordinates of all 4 atoms:
Er 0.000 0.000 0.000
Th 0.500 0.500 0.500
Zn 0.750 0.750 0.750
Tc 0.250 0.250 0.250

Computed properties:
Total energy (eV per atom): -6.06
Energy of formation from the pure elements (eV per atom): -0.15


Compound: BaLaNbCu2
Source: the Alexandria database
Functional: PBE
Structure: optimized geometry

a b c (Å): 5.290 5.290 5.372
angles (deg): 90.00 90.00 90.00
Fractional coordinates of all 5 atoms:
Ba 0.000 0.000 0.000
La 0.500 0.500 0.500
Nb 0.000 0.000 0.500
Cu 0.000 0.500 0.000
Cu 0.500 0.000 0.000

Computed properties:
Total energy (eV per atom): -3.63
Energy of formation from the pure elements (eV per atom): 1.40
Relative energy among the computed polymorphs (meV per atom): 0


Compound: KBaAs2
Source: the Alexandria database
Functional: PBE
Structure: optimized geometry

a b c (Å): 4.795 4.795 6.795
angles (deg): 90.00 90.00 90.00
Fractional coordinates of all 4 atoms:
K 0.000 0.000 0.000
Ba 0.500 0.500 0.500
As 0.000 0.000 0.500
As 0.500 0.500 0.000

Computed properties:
Total energy (eV per atom): -3.25
Energy of formation from the pure elements (eV per atom): -0.17
Relative energy among the computed polymorphs (meV per atom): 517


Compound: Ac2NbO6
Source: the Alexandria database
Functional: PBE
Structure: optimized geometry

a b c (Å): 5.882 6.524 9.499
angles (deg): 90.00 121.48 90.00
Fractional coordinates of all 18 atoms:
Ac 0.207 0.086 0.244
Ac 0.207 0.414 0.744
Ac 0.793 0.586 0.256
Ac 0.793 0.914 0.756
Nb 0.500 0.000 0.000
Nb 0.500 0.500 0.500
O 0.166 0.148 0.951
O 0.166 0.352 0.451
O 0.282 0.736 0.918
O 0.282 0.764 0.418
O 0.422 0.069 0.775
O 0.422 0.431 0.275
O 0.578 0.569 0.725
O 0.578 0.931 0.225
O 0.718 0.236 0.582
O 0.718 0.264 0.082
O 0.834 0.648 0.549
O 0.834 0.852 0.049

Computed properties:
Total energy (eV per atom): -8.19
Formation energy without anion corrections (meV per atom): -2851
Relative energy among the computed polymorphs (meV per atom): 0


Compound: Fe2Co15Ir2
Source: the Alexandria database
Functional: PBE
Structure: optimized geometry

a b c (Å): 6.207 6.207 6.207
angles (deg): 81.38 81.38 81.38
Fractional coordinates of all 19 atoms:
Fe 0.168 0.168 0.168
Fe 0.832 0.832 0.832
Co 0.000 0.500 0.500
Co 0.146 0.146 0.661
Co 0.146 0.661 0.146
Co 0.191 0.500 0.809
Co 0.191 0.809 0.500
Co 0.339 0.854 0.854
Co 0.500 0.000 0.500
Co 0.500 0.191 0.809
Co 0.500 0.500 0.000
Co 0.500 0.809 0.191
Co 0.661 0.146 0.146
Co 0.809 0.191 0.500
Co 0.809 0.500 0.191
Co 0.854 0.339 0.854
Co 0.854 0.854 0.339
Ir 0.397 0.397 0.397
Ir 0.603 0.603 0.603

Computed properties:
Total energy (eV per atom): -7.25
Energy of formation from the pure elements (eV per atom): 0.19


Compound: Sr3In8Au3
Source: the Alexandria database
Functional: PBE
Structure: optimized geometry

a b c (Å): 9.255 9.255 9.255
angles (deg): 149.90 103.70 84.15
Fractional coordinates of all 14 atoms:
Sr 0.000 0.000 0.000
Sr 0.334 0.334 0.000
Sr 0.666 0.666 0.000
In 0.045 0.674 0.371
In 0.167 0.881 0.286
In 0.303 0.674 0.629
In 0.405 0.119 0.286
In 0.595 0.881 0.714
In 0.697 0.326 0.371
In 0.833 0.119 0.714
In 0.955 0.326 0.629
Au 0.256 0.500 0.756
Au 0.500 0.000 0.500
Au 0.744 0.500 0.244

Computed properties:
Total energy (eV per atom): -3.05
Energy of formation from the pure elements (eV per atom): -0.42
Relative energy among the computed polymorphs (meV per atom): 17


Compound: K3Ba4
Source: the Alexandria database
Functional: PBE
Structure: optimized geometry

a b c (Å): 7.911 7.911 8.553
angles (deg): 90.00 90.00 120.00
Fractional coordinates of all 7 atoms:
K 0.000 0.500 0.000
K 0.500 0.000 0.000
K 0.500 0.500 0.000
Ba 0.000 0.000 0.264
Ba 0.000 0.000 0.736
Ba 0.333 0.667 0.500
Ba 0.667 0.333 0.500

Computed properties:
Total energy (eV per atom): -1.47
Energy of formation from the pure elements (eV per atom): 0.10


Compound: TaPb4Cl
Source: the Alexandria database
Functional: PBE
Structure: optimized geometry

a b c (Å): 6.308 6.308 6.308
angles (deg): 60.00 60.00 60.00
Fractional coordinates of all 6 atoms:
Ta 0.000 0.000 0.000
Pb 0.374 0.374 0.374
Pb 0.374 0.374 0.877
Pb 0.374 0.877 0.374
Pb 0.877 0.374 0.374
Cl 0.750 0.750 0.750

Computed properties:
Total energy (eV per atom): -4.03
Formation energy without anion corrections (meV per atom): 728